VASP calculation (PBE-GGA) on a geometry-optimized LiMn2Tc structure.

Unit cell a=2.829 b=4.211 c=4.229 alpha=90.00 beta=90.00 gamma=90.00
Element x y z (fractional)
Li  0.000  0.000  0.000
Mn  0.000  0.500  0.500
Mn  0.500  0.000  0.500
Tc  0.500  0.500  0.000

Properties
- V: 12.6 A^3/atom
- Size of the total moment: 1.44 μB per formula unit
- Calculated density: 7.1 Mg/m³
- N(E_F): 3.9 states/eV per cell
- Symmetry: No. 47
- Calculated formation energy: 1.22 eV per formula unit


VASP calculation (PBE-GGA) on a geometry-optimized LiMnTc2 structure.

Unit cell a=2.665 b=2.665 c=26.839 alpha=90.00 beta=90.00 gamma=120.00
Element x y z (fractional)
Li  0.000  0.000  0.000
Li  0.333  0.667  0.667
Li  0.667  0.333  0.333
Mn  0.000  0.000  0.500
Mn  0.333  0.667  0.167
Mn  0.667  0.333  0.833
Tc  0.000  0.000  0.243
Tc  0.000  0.000  0.757
Tc  0.333  0.667  0.423
Tc  0.333  0.667  0.910
Tc  0.667  0.333  0.090
Tc  0.667  0.333  0.577

Properties
- V: 13.8 A^3/atom
- Size of the total moment: 0.11 μB per formula unit
- Calculated density: 7.8 Mg/m³
- N(E_F): 14.1 states/eV per cell
- Symmetry: No. 166
- Calculated formation energy: 0.86 eV per formula unit
- Offset from the most stable computed form: 25 meV/atom


VASP calculation (PBE-GGA) on a geometry-optimized LiMnTc2 structure.

Unit cell a=2.592 b=2.592 c=8.156 alpha=90.00 beta=90.00 gamma=90.00
Element x y z (fractional)
Li  0.000  0.000  0.000
Mn  0.000  0.000  0.500
Tc  0.500  0.500  0.276
Tc  0.500  0.500  0.724

Properties
- V: 13.7 A^3/atom
- Size of the total moment: 0.00 μB per formula unit
- Calculated density: 7.8 Mg/m³
- N(E_F): 4.4 states/eV per cell
- Symmetry: No. 123
- Calculated formation energy: 1.07 eV per formula unit
- Offset from the most stable computed form: 77 meV/atom


VASP calculation (PBE-GGA) on a geometry-optimized LiMn2Tc structure.

Unit cell a=2.944 b=4.340 c=8.701 alpha=90.00 beta=90.00 gamma=90.00
Element x y z (fractional)
Li  0.000  0.000  0.000
Li  0.500  0.500  0.000
Mn  0.000  0.500  0.264
Mn  0.000  0.500  0.736
Mn  0.500  0.000  0.264
Mn  0.500  0.000  0.736
Tc  0.000  0.000  0.500
Tc  0.500  0.500  0.500

Properties
- V: 13.9 A^3/atom
- Size of the total moment: 4.78 μB per formula unit
- Calculated density: 6.4 Mg/m³
- N(E_F): 8.3 states/eV per cell
- Symmetry: No. 65
- Calculated formation energy: 1.24 eV per formula unit


VASP calculation (PBE-GGA) on a geometry-optimized LiMnTc2 structure.

Unit cell a=2.538 b=4.119 c=5.117 alpha=90.00 beta=90.00 gamma=90.00
Element x y z (fractional)
Li  0.000  0.000  0.000
Mn  0.000  0.000  0.500
Tc  0.500  0.500  0.243
Tc  0.500  0.500  0.757

Properties
- V: 13.4 A^3/atom
- Size of the total moment: 2.16 μB per formula unit
- Calculated density: 8.0 Mg/m³
- N(E_F): 2.9 states/eV per cell
- Symmetry: No. 47
- Calculated formation energy: 0.97 eV per formula unit
- Offset from the most stable computed form: 52 meV/atom


VASP calculation (PBE-GGA) on a geometry-optimized LiMnTc2 structure.

Unit cell a=4.244 b=4.244 c=5.991 alpha=90.00 beta=90.00 gamma=90.00
Element x y z (fractional)
Li  0.000  0.000  0.000
Li  0.500  0.500  0.500
Mn  0.000  0.500  0.250
Mn  0.500  0.000  0.750
Tc  0.000  0.000  0.500
Tc  0.000  0.500  0.750
Tc  0.500  0.000  0.250
Tc  0.500  0.500  0.000

Properties
- V: 13.5 A^3/atom
- Size of the total moment: 2.67 μB per formula unit
- Calculated density: 7.9 Mg/m³
- N(E_F): 7.8 states/eV per cell
- Symmetry: No. 119
- Calculated formation energy: 0.78 eV per formula unit
- Offset from the most stable computed form: 4 meV/atom